A relaxed ErTlTe2Au crystal, computed with PBE.

The structure in POSCAR format:
```
ErTlTe2Au
1.0
-3.7201 2.9321 -0.6868
-4.9279 -6.7949 -2.3161
-1.5040 -0.0665 7.8621
Te Au Er Tl
4 2 2 2
Direct
0.6613 0.7456 0.9573
0.3387 0.2544 0.0427
0.3387 0.7456 0.4573
0.6613 0.2544 0.5427
0.0000 0.0000 0.5000
0.0000 0.0000 0.0000
0.5012 0.0000 0.2500
0.4988 0.0000 0.7500
0.8367 0.5000 0.2500
0.1633 0.5000 0.7500
```

- formation energy (no corrections) (eV/atom) = -0.6091
- M_tot (μB per atom) = 0.000

A relaxed BaNdBN2 crystal, computed with PBE.

The structure in POSCAR format:
```
BaNdBN2
1.0
-2.9306 4.2233 -1.4180
-2.8877 -3.2087 -3.5888
-4.7527 -1.5467 5.2162
B N Ba Nd
2 4 2 2
Direct
0.0000 0.0000 0.0000
0.0000 0.0000 0.5000
0.7872 0.1330 0.4998
0.2128 0.8670 0.5002
0.2128 0.1330 0.9998
0.7872 0.8670 0.0002
0.0011 0.5000 0.7500
0.9989 0.5000 0.2500
0.5006 0.0000 0.7500
0.4994 0.0000 0.2500
```

- formation energy (no corrections) (eV/atom) = -0.7997
- M_tot (μB per atom) = 0.000

A relaxed NdHo7Tm3 crystal, computed with PBE.

The structure in POSCAR format:
```
NdHo7Tm3
1.0
-8.2002 2.9837 1.3023
-1.1322 -8.9892 -3.7569
3.5528 -1.9920 3.6982
Ho Tm Nd
7 3 1
Direct
0.5000 0.0000 0.5000
0.0729 0.1676 0.0729
0.1739 0.3568 0.6739
0.6483 0.2900 0.1481
0.9271 0.8324 0.9271
0.8261 0.6432 0.3261
0.3517 0.7100 0.8519
0.7758 0.9954 0.2756
0.0000 0.5000 0.0000
0.2242 0.0046 0.7244
0.5000 0.5000 0.5000
```

- M_tot (μB per atom) = 0.000
- energy relative to the lowest polymorph listed for this composition (meV/atom) = 0.0
- formation energy from the elements (meV/atom) = 148